## NaPrPd (PBE)

Data for a relaxed NaPrPd crystal.

abc: 4.915 4.915 4.915
angles: 60.00 60.00 60.00
Positions (direct):
Na: 0.250 0.250 0.250
Pd: 0.000 0.000 0.000
Pr: 0.750 0.750 0.750

## Properties
ΔE to the lowest computed polymorph = 0 meV per atom
volume = 84 Å³ per cell
space group = No. 216

## TbInPb2 (PBE)

Data for a relaxed TbInPb2 crystal.

abc: 4.794 4.794 4.780
angles: 90.00 90.00 90.00
Positions (direct):
In: 0.500 0.500 0.000
Pb: 0.500 0.000 0.500
Pb: 0.000 0.500 0.500
Tb: 0.000 0.000 0.000

## Properties
volume = 110 Å³ per cell
space group = No. 123

## KCo3Sn5 (PBE)

Data for a relaxed KCo3Sn5 crystal.

abc: 5.246 5.246 8.776
angles: 90.00 90.00 120.00
Positions (direct):
Co: 0.500 0.000 0.500
Co: 0.000 0.500 0.500
Co: 0.500 0.500 0.500
K: 0.000 0.000 0.000
Sn: 0.667 0.333 0.254
Sn: 0.333 0.667 0.254
Sn: 0.000 0.000 0.500
Sn: 0.667 0.333 0.746
Sn: 0.333 0.667 0.746

## Properties
volume = 209 Å³ per cell
space group = No. 191

## TaBeCoGe (PBE)

Data for a relaxed TaBeCoGe crystal.

abc: 4.180 4.180 4.180
angles: 60.00 60.00 60.00
Positions (direct):
Be: 0.250 0.250 0.250
Co: 0.750 0.750 0.750
Ge: 0.000 0.000 0.000
Ta: 0.500 0.500 0.500

## Properties
ΔE to the lowest computed polymorph = 0 meV per atom
volume = 52 Å³ per cell
space group = No. 216

## LiSmPO (PBE)

Data for a relaxed LiSmPO crystal.

abc: 3.896 6.473 5.455
angles: 90.00 90.00 90.00
Positions (direct):
Li: 0.000 0.180 0.006
Li: 0.000 0.820 0.506
O: 0.500 0.918 0.417
O: 0.500 0.082 0.917
P: 0.000 0.488 0.280
P: 0.000 0.512 0.780
Sm: 0.500 0.759 0.051
Sm: 0.500 0.241 0.551

## Properties
ΔE to the lowest computed polymorph = 66 meV per atom
volume = 138 Å³ per cell
space group = No. 26

no.,uncorrected energy (eV per atom)
1,-4.01
2,-4.02
3,-4.82
4,-6.73
5,-5.92